# 1
First-principles (PBE-GGA) data for crystalline Ta2CuMo at its relaxed geometry, as listed in the Alexandria database.

Calculated values
As for the space-group type: F-43m, No. 216. The density is 13.319 Mg/m³. The calculated formation energy is 90 kJ/mol of formula units.

abc: 4.513 4.513 4.513
angles: 60.00 60.00 60.00
Sites, in units of the cell vectors:
Ta: 0.000 0.000 0.000
Ta: 0.250 0.250 0.250
Cu: 0.500 0.500 0.500
Mo: 0.750 0.750 0.750

# 2
First-principles (PBE-GGA) data for crystalline Ta3CuMo at its relaxed geometry, as listed in the Alexandria database.

Calculated values
As for the space-group type: Pm-3m, No. 221. The density is 10.472 Mg/m³. The calculated formation energy is 774 kJ/mol of formula units.

abc: 4.811 4.811 4.811
angles: 90.00 90.00 90.00
Sites, in units of the cell vectors:
Ta: 0.000 0.000 0.500
Ta: 0.000 0.500 0.000
Ta: 0.500 0.000 0.000
Cu: 0.500 0.500 0.500
Mo: 0.000 0.000 0.000

# 3
First-principles (PBE-GGA) data for crystalline Ta2CuMo at its relaxed geometry, as listed in the Alexandria database.

Calculated values
As for the space-group type: Immm, No. 71. The density is 13.280 Mg/m³. The calculated formation energy is 49 kJ/mol of formula units.

abc: 5.004 5.004 5.004
angles: 138.17 127.40 69.36
Sites, in units of the cell vectors:
Ta: 0.246 0.246 0.000
Ta: 0.754 0.754 0.000
Cu: 0.500 0.000 0.500
Mo: 0.000 0.500 0.500